# 1
Density functional theory data (meta-GGA SCAN) for a PBEsol-optimized structure of TlHg2Au.

## Properties
- spin magnetization (μB per cell) = 0.0
- DOS(E_F) (states/eV/f.u.) = 1.20
- ΔE_f (eV/atom) = 0.074
- polymorph energy (0 for the lowest one) (meV per atom) = 62.9

Structure (CIF):
```
data_TlHg2Au
_symmetry_space_group_name_H-M 'I -4 m 2'
_symmetry_Int_Tables_number 119
_symmetry_space_group_name_Hall 'I -4 -2'
_cell_length_a 5.0309
_cell_length_b 5.0309
_cell_length_c 7.1424
_cell_angle_alpha 90.00
_cell_angle_beta 90.00
_cell_angle_gamma 90.00
loop_
_atom_site_label
_atom_site_type_symbol
_atom_site_fract_x
_atom_site_fract_y
_atom_site_fract_z
Tl1 Tl 0.0000 0.0000 0.0000
Hg1 Hg 0.0000 0.0000 0.5000
Hg2 Hg 0.0000 0.5000 0.7500
Au1 Au 0.0000 0.5000 0.2500
```



# 2
Density functional theory data (meta-GGA SCAN) for a PBEsol-optimized structure of SrInPt2.

## Properties
- spin magnetization (μB per cell) = 0.0
- DOS(E_F) (states/eV/f.u.) = 2.57
- ΔE_f (eV/atom) = -0.377

Structure (CIF):
```
data_SrInPt2
_symmetry_space_group_name_H-M 'P 4 m m'
_symmetry_Int_Tables_number 99
_cell_length_a 3.5163
_cell_length_b 3.5163
_cell_length_c 6.8690
_cell_angle_alpha 90.00
_cell_angle_beta 90.00
_cell_angle_gamma 90.00
loop_
_symmetry_equiv_pos_as_xyz
'x,y,z'
'-y,x,z'
'-x,-y,z'
'y,-x,z'
'-x,y,z'
'y,x,z'
'x,-y,z'
'-y,-x,z'
loop_
_atom_site_label
_atom_site_type_symbol
_atom_site_fract_x
_atom_site_fract_y
_atom_site_fract_z
Sr1 Sr 0.0000 0.0000 0.0000
In1 In 0.5000 0.5000 0.3473
Pt1 Pt 0.0000 0.0000 0.5369
Pt2 Pt 0.5000 0.5000 0.7363
```



# 3
Density functional theory data (meta-GGA SCAN) for a PBEsol-optimized structure of NaMgH3.

## Properties
- spin magnetization (μB per cell) = 0.0
- DOS(E_F) (states/eV/f.u.) = 0.00
- final energy (Ha/atom) = -0.1550

Structure (CIF):
```
data_NaMgH3
_symmetry_space_group_name_H-M 'P n m a'
_symmetry_Int_Tables_number 62
_cell_length_a 5.4117
_cell_length_b 7.6036
_cell_length_c 5.3317
_cell_angle_alpha 90.00
_cell_angle_beta 90.00
_cell_angle_gamma 90.00
loop_
_symmetry_equiv_pos_as_xyz
'x,y,z'
'-x,-y,-z'
'-x+1/2,-y,z+1/2'
'x+1/2,y,-z+1/2'
'x+1/2,-y+1/2,-z+1/2'
'-x+1/2,y+1/2,z+1/2'
'-x,y+1/2,-z'
'x,-y+1/2,z'
loop_
_atom_site_label
_atom_site_type_symbol
_atom_site_fract_x
_atom_site_fract_y
_atom_site_fract_z
Na1 Na 0.0310 0.2500 0.0056
Mg1 Mg 0.0000 0.0000 0.5000
H1 H 0.0269 0.7500 0.4168
H2 H 0.2068 0.5436 0.7946
```



# 4
Density functional theory data (meta-GGA SCAN) for a PBEsol-optimized structure of Mo2Au2F.

## Properties
- raw formation energy (eV/atom) = 0.22
- spin magnetization (μB per cell) = 0.0
- DOS(E_F) (states/eV/f.u.) = 2.40

Structure (CIF):
```
data_Mo2Au2F
_symmetry_space_group_name_H-M 'I 4/m m m'
_symmetry_Int_Tables_number 139
_symmetry_space_group_name_Hall '-I 4 2'
_cell_length_a 3.5020
_cell_length_b 3.5020
_cell_length_c 13.9792
_cell_angle_alpha 90.00
_cell_angle_beta 90.00
_cell_angle_gamma 90.00
loop_
_atom_site_label
_atom_site_type_symbol
_atom_site_fract_x
_atom_site_fract_y
_atom_site_fract_z
Mo1 Mo 0.0000 0.5000 0.2500
Au1 Au 0.0000 0.0000 0.0975
F1 F 0.0000 0.0000 0.5000
```



# 5
Density functional theory data (meta-GGA SCAN) for a PBEsol-optimized structure of TbZr3.

## Properties
- spin magnetization (μB per cell) = 0.0
- DOS(E_F) (states/eV/f.u.) = 4.62
- ΔE_f (eV/atom) = 0.059

Structure (CIF):
```
data_TbZr3
_symmetry_space_group_name_H-M 'P -6 m 2'
_symmetry_Int_Tables_number 187
_symmetry_space_group_name_Hall 'P -6 2'
_cell_length_a 3.2470
_cell_length_b 3.2470
_cell_length_c 10.4541
_cell_angle_alpha 90.00
_cell_angle_beta 90.00
_cell_angle_gamma 120.00
loop_
_atom_site_label
_atom_site_type_symbol
_atom_site_fract_x
_atom_site_fract_y
_atom_site_fract_z
Tb1 Tb 0.0000 0.0000 0.0000
Zr1 Zr 0.0000 0.0000 0.5000
Zr2 Zr 0.3333 0.6667 0.2612
```



# 6
Density functional theory data (meta-GGA SCAN) for a PBEsol-optimized structure of MnAlAg.

## Properties
- spin magnetization (μB per cell) = 14.6
- DOS(E_F) (states/eV/f.u.) = 1.43
- ΔE_f (eV/atom) = 0.134

Structure (CIF):
```
data_MnAlAg
_symmetry_space_group_name_H-M 'F -4 3 m'
_symmetry_Int_Tables_number 216
_symmetry_space_group_name_Hall 'F -4 2 3'
_cell_length_a 5.9202
_cell_length_b 5.9202
_cell_length_c 5.9202
_cell_angle_alpha 90.00
_cell_angle_beta 90.00
_cell_angle_gamma 90.00
loop_
_atom_site_label
_atom_site_type_symbol
_atom_site_fract_x
_atom_site_fract_y
_atom_site_fract_z
Mn1 Mn 0.0000 0.0000 0.0000
Al1 Al 0.2500 0.2500 0.2500
Ag1 Ag 0.0000 0.0000 0.5000
```



Which value of DOS(E_F) does entry 3 give?
0.00 states/eV/f.u.



Which value of DOS(E_F) does entry 1 give?
1.20 states/eV/f.u.



What is the formula in the first record?
TlHg2Au



Copy entry 2 word for word.
Density functional theory data (meta-GGA SCAN) for a PBEsol-optimized structure of SrInPt2.

## Properties
- spin magnetization (μB per cell) = 0.0
- DOS(E_F) (states/eV/f.u.) = 2.57
- ΔE_f (eV/atom) = -0.377

Structure (CIF):
```
data_SrInPt2
_symmetry_space_group_name_H-M 'P 4 m m'
_symmetry_Int_Tables_number 99
_cell_length_a 3.5163
_cell_length_b 3.5163
_cell_length_c 6.8690
_cell_angle_alpha 90.00
_cell_angle_beta 90.00
_cell_angle_gamma 90.00
loop_
_symmetry_equiv_pos_as_xyz
'x,y,z'
'-y,x,z'
'-x,-y,z'
'y,-x,z'
'-x,y,z'
'y,x,z'
'x,-y,z'
'-y,-x,z'
loop_
_atom_site_label
_atom_site_type_symbol
_atom_site_fract_x
_atom_site_fract_y
_atom_site_fract_z
Sr1 Sr 0.0000 0.0000 0.0000
In1 In 0.5000 0.5000 0.3473
Pt1 Pt 0.0000 0.0000 0.5369
Pt2 Pt 0.5000 0.5000 0.7363
```